# YBeSb (PBE, relaxed)
# ΔE to the lowest computed polymorph, meV/atom: 380.7
# Magnetization, μB per formula unit: 0.000
# DOS at the Fermi energy, states/eV per atom: 0.576
# E_form (uncorrected), eV/atom: -0.16
data_YBeSb
_cell_length_a 6.3317
_cell_length_b 6.3317
_cell_length_c 6.3317
_cell_angle_alpha 90.00
_cell_angle_beta 90.00
_cell_angle_gamma 90.00
_space_group_name_H-M_alt 'F -4 3 m'
_space_group_IT_number 216
_space_group_name_Hall 'F -4 2 3'
loop_
_atom_site_label
_atom_site_type_symbol
_atom_site_fract_x
_atom_site_fract_y
_atom_site_fract_z
_atom_site_occupancy
Y1 Y 0.0000 0.0000 0.0000 1
Be1 Be 0.2500 0.2500 0.7500 1
Sb1 Sb 0.0000 0.0000 0.5000 1